DFT (PBE) results for a geometry-optimized ScMoPb2Au structure.

Unit cell a=5.4880 b=5.4880 c=5.1330 alpha=90.00 beta=90.00 gamma=90.00
Last column: nearest neighbours and their distance in Å.
Element x y z (fractional)
1 Sc 0.0000 0.0000 0.0000  2 Au 2.57
2 Mo 0.5000 0.5000 0.0000  8 Pb 3.76, 4 Sc 3.88
3 Pb 0.0000 0.5000 0.5000  2 Au 2.74
4 Pb 0.5000 0.0000 0.5000  2 Au 2.74
5 Au 0.0000 0.0000 0.5000  2 Sc 2.57, 4 Pb 2.74

D(E_F) (states/eV per cell): 4.29
Crystal system: tetragonal
ΔE_f (meV per atom): 1033

DFT (PBE) results for a geometry-optimized ScIr2Ru structure.

Unit cell a=2.8157 b=2.8157 c=7.8086 alpha=90.00 beta=90.00 gamma=90.00
Last column: nearest neighbours and their distance in Å.
Element x y z (fractional)
1 Sc 0.0000 0.0000 0.0000  4 Sc 2.82, 8 Ir 2.88
2 Ir 0.5000 0.5000 0.2661  4 Ru 2.70, 4 Ir 2.82, 4 Sc 2.88
3 Ir 0.5000 0.5000 0.7339  4 Ru 2.70, 4 Ir 2.82, 4 Sc 2.88
4 Ru 0.0000 0.0000 0.5000  8 Ir 2.70, 4 Ru 2.82

D(E_F) (states/eV per cell): 3.68
Crystal system: tetragonal
ΔE_f (meV per atom): -343

DFT (PBE) results for a geometry-optimized V3MoSe structure.

Unit cell a=4.5945 b=4.5945 c=4.5945 alpha=90.00 beta=90.00 gamma=90.00
Last column: nearest neighbours and their distance in Å.
Element x y z (fractional)
1 V 0.0000 0.0000 0.5000  2 Mo 2.30
2 V 0.0000 0.5000 0.0000  2 Mo 2.30
3 V 0.5000 0.0000 0.0000  2 Mo 2.30
4 Mo 0.0000 0.0000 0.0000  6 V 2.30
5 Se 0.5000 0.5000 0.5000  12 V 3.25

Energy relative to the elements, uncorrected (eV/atom): 1.243
D(E_F) (states/eV per cell): 4.40
Crystal system: cubic

DFT (PBE) results for a geometry-optimized YTaBr2 structure.

Unit cell a=4.9633 b=4.9633 c=4.9633 alpha=60.00 beta=60.00 gamma=60.00
Last column: nearest neighbours and their distance in Å.
Element x y z (fractional)
1 Y 0.0000 0.0000 0.0000  8 Br 3.04
2 Ta 0.5000 0.5000 0.5000  8 Br 3.04
3 Br 0.2500 0.2500 0.2500  4 Ta 3.04, 4 Y 3.04
4 Br 0.7500 0.7500 0.7500  4 Ta 3.04, 4 Y 3.04

Energy relative to the elements, uncorrected (eV/atom): 0.222
D(E_F) (states/eV per cell): 3.85
Crystal system: cubic

DFT (PBE) results for a geometry-optimized Dy3Y2Pt4 structure.

Unit cell a=7.6503 b=7.6755 c=7.5898 alpha=90.00 beta=109.57 gamma=90.00
Last column: nearest neighbours and their distance in Å.
Element x y z (fractional)
1 Dy 0.0000 0.0000 0.0000  6 Pt 2.97-3.01
2 Dy 0.0000 0.5000 0.5000  6 Pt 2.97-3.01
3 Dy 0.2572 0.1665 0.7532  6 Pt 2.83-3.00
4 Dy 0.2572 0.3335 0.2532  6 Pt 2.83-3.00
5 Dy 0.7428 0.6665 0.7468  6 Pt 2.83-3.00
6 Dy 0.7428 0.8335 0.2468  6 Pt 2.83-3.00
7 Y 0.3065 0.6797 0.9246  5 Pt 2.96-3.24
8 Y 0.3065 0.8203 0.4246  5 Pt 2.96-3.24
9 Y 0.6935 0.1797 0.5754  5 Pt 2.96-3.24
10 Y 0.6935 0.3203 0.0754  5 Pt 2.96-3.24
11 Pt 0.0101 0.6350 0.1312  1 Pt 2.84, 5 Dy 2.91-3.01, 2 Y 2.96-3.18
12 Pt 0.0101 0.8650 0.6312  1 Pt 2.84, 5 Dy 2.91-3.01, 2 Y 2.96-3.18
13 Pt 0.4128 0.0342 0.1472  4 Dy 2.83-3.00, 2 Y 2.99-3.16, 1 Pt 3.01
14 Pt 0.4128 0.4658 0.6472  4 Dy 2.83-3.00, 2 Y 2.99-3.16, 1 Pt 3.01
15 Pt 0.5872 0.5342 0.3528  4 Dy 2.83-3.00, 2 Y 2.99-3.16, 1 Pt 3.01
16 Pt 0.5872 0.9658 0.8528  4 Dy 2.83-3.00, 2 Y 2.99-3.16, 1 Pt 3.01
17 Pt 0.9899 0.1350 0.3688  1 Pt 2.84, 5 Dy 2.91-3.01, 2 Y 2.96-3.18
18 Pt 0.9899 0.3650 0.8688  1 Pt 2.84, 5 Dy 2.91-3.01, 2 Y 2.96-3.18

D(E_F) (states/eV per cell): 10.85
Crystal system: monoclinic
ΔE_f (meV per atom): -1172

DFT (PBE) results for a geometry-optimized Pr5PbAu2 structure.

Unit cell a=9.0833 b=9.0833 c=9.0833 alpha=124.59 beta=124.59 gamma=82.22
Last column: nearest neighbours and their distance in Å.
Element x y z (fractional)
1 Pr 0.0000 0.0000 0.0000  4 Au 3.29, 2 Pb 3.42
2 Pr 0.0123 0.5123 0.8115  3 Au 3.15-3.18, 2 Pb 3.51
3 Pr 0.2008 0.0123 0.5000  3 Au 3.15-3.18, 2 Pb 3.51
4 Pr 0.2992 0.7992 0.8115  3 Au 3.15-3.18, 2 Pb 3.51
5 Pr 0.4877 0.2992 0.5000  3 Au 3.15-3.18, 2 Pb 3.51
6 Pr 0.5000 0.5000 0.0000  4 Au 3.29, 2 Pb 3.42
7 Pr 0.5123 0.7008 0.5000  3 Au 3.15-3.18, 2 Pb 3.51
8 Pr 0.7008 0.2008 0.1885  3 Au 3.15-3.18, 2 Pb 3.51
9 Pr 0.7992 0.9877 0.5000  3 Au 3.15-3.18, 2 Pb 3.51
10 Pr 0.9877 0.4877 0.1885  3 Au 3.15-3.18, 2 Pb 3.51
11 Pb 0.2500 0.2500 0.0000  10 Pr 3.42-3.51
12 Pb 0.7500 0.7500 0.0000  10 Pr 3.42-3.51
13 Au 0.1349 0.3651 0.5000  8 Pr 3.15-3.29, 1 Au 3.22
14 Au 0.3651 0.8651 0.2303  8 Pr 3.15-3.29, 1 Au 3.22
15 Au 0.6349 0.1349 0.7697  8 Pr 3.15-3.29, 1 Au 3.22
16 Au 0.8651 0.6349 0.5000  8 Pr 3.15-3.29, 1 Au 3.22

D(E_F) (states/eV per cell): 19.61
Crystal system: tetragonal
ΔE_f (meV per atom): -557

DFT (PBE) results for a geometry-optimized ScInCo2Bi structure.

Unit cell a=4.8336 b=4.8336 c=5.4699 alpha=90.00 beta=90.00 gamma=90.00
Last column: nearest neighbours and their distance in Å.
Element x y z (fractional)
1 Sc 0.0000 0.0000 0.0000  2 Bi 2.73
2 In 0.5000 0.5000 0.0000  4 Sc 3.42, 8 Co 3.65
3 Co 0.0000 0.5000 0.5000  2 Bi 2.42
4 Co 0.5000 0.0000 0.5000  2 Bi 2.42
5 Bi 0.0000 0.0000 0.5000  4 Co 2.42

D(E_F) (states/eV per cell): 8.41
Crystal system: tetragonal
ΔE_f (meV per atom): 898

DFT (PBE) results for a geometry-optimized Ca2Cu2Ge structure.

Unit cell a=7.0071 b=7.0071 c=4.2649 alpha=90.00 beta=90.00 gamma=90.00
Last column: nearest neighbours and their distance in Å.
Element x y z (fractional)
1 Ca 0.1850 0.3150 0.0000  6 Cu 2.86-3.06
2 Ca 0.3150 0.8150 0.0000  6 Cu 2.86-3.06
3 Ca 0.6850 0.1850 0.0000  6 Cu 2.86-3.06
4 Ca 0.8150 0.6850 0.0000  6 Cu 2.86-3.06
5 Cu 0.1224 0.6224 0.5000  1 Cu 2.42
6 Cu 0.3776 0.1224 0.5000  1 Cu 2.42
7 Cu 0.6224 0.8776 0.5000  1 Cu 2.42
8 Cu 0.8776 0.3776 0.5000  1 Cu 2.42
9 Ge 0.0000 0.0000 0.5000  4 Cu 2.78
10 Ge 0.5000 0.5000 0.5000  4 Cu 2.78

D(E_F) (states/eV per cell): 4.92
Crystal system: tetragonal
ΔE_f (meV per atom): -215

Question: Which of these has the highest D(E_F)?
Answer: Pr5PbAu2

Question: D(E_F) of number 2 (ScIr2Ru)?
Answer: 3.68 states/eV per cell

Question: Among the records above, which one has the highest D(E_F)?
Answer: Pr5PbAu2